A relaxed Cr2ReMo crystal, computed with PBEsol.

Output
* theoretical density: 12.22 g cm⁻³
* total magnetization: 0.00 μB/cell
* uncorrected energy: -11.3341 eV/atom
* crystal system: orthorhombic
* ΔE_f: 0.25 eV per formula unit

Geometry as POSCAR:
```
Cr2ReMo
1.0
-1.484 2.100 4.208
1.484 -2.100 4.208
1.484 2.100 -4.208
Cr Re Mo
2 1 1
direct
0.000 0.000 0.000
0.760 0.260 0.500
0.508 0.508 0.000
0.249 0.749 0.500
```

---

A relaxed Cr2ReMo crystal, computed with PBEsol.

Output
* theoretical density: 12.11 g cm⁻³
* total magnetization: 0.00 μB/cell
* uncorrected energy: -11.2965 eV/atom
* crystal system: orthorhombic
* ΔE_f: 0.40 eV per formula unit

Geometry as POSCAR:
```
Cr2ReMo
1.0
-1.497 2.134 4.142
1.497 -2.134 4.142
1.497 2.134 -4.142
Cr Re Mo
2 1 1
direct
0.248 0.248 0.000
0.752 0.752 0.000
0.500 0.000 0.500
0.000 0.500 0.500
```

---

A relaxed Cr4ReMo crystal, computed with PBEsol.

Output
* theoretical density: 10.92 g cm⁻³
* total magnetization: 0.00 μB/cell
* uncorrected energy: -10.9644 eV/atom
* crystal system: cubic
* ΔE_f: 0.28 eV per formula unit

Geometry as POSCAR:
```
Cr4ReMo
1.0
0.000 3.341 3.341
3.341 0.000 3.341
3.341 3.341 0.000
Cr Re Mo
4 1 1
direct
0.125 0.125 0.125
0.125 0.125 0.624
0.125 0.624 0.125
0.624 0.125 0.125
0.750 0.750 0.750
0.500 0.500 0.500
```